Rb2Pt2F: relaxed, PBE.

Structure (POSCAR):
```
Rb2Pt2F
1.0
-1.836 1.836 9.280
1.836 -1.836 9.280
1.836 1.836 -9.280
Rb Pt F
2 2 1
direct
0.090 0.090 0.000
0.910 0.910 0.000
0.250 0.750 0.500
0.750 0.250 0.500
0.500 0.500 0.000
```

Summary:
Energy ... -20.7 eV per cell
Formation energy (no corrections) ... -93.69 kJ per mole of atoms
Volume ... 25.0 A^3/atom
Space group ... No. 139

=====

RbPt2F: relaxed, PBE.

Structure (POSCAR):
```
RbPt2F
1.0
0.000 3.400 3.400
3.400 0.000 3.400
3.400 3.400 0.000
Rb Pt F
1 2 1
direct
0.000 0.000 0.000
0.250 0.250 0.250
0.750 0.750 0.750
0.500 0.500 0.500
```

Summary:
Energy ... -11.7 eV per cell
Formation energy (no corrections) ... 77.88 kJ per mole of atoms
Volume ... 19.6 A^3/atom
Space group ... No. 225

=====

RbPt2F11: relaxed, PBE.

Structure (POSCAR):
```
RbPt2F11
1.0
-4.862 4.918 5.627
4.862 -4.918 5.627
4.862 4.918 -5.627
Rb Pt F
2 4 22
direct
0.250 0.250 0.000
0.750 0.750 0.000
0.150 0.643 0.794
0.350 0.143 0.493
0.650 0.857 0.507
0.850 0.357 0.206
0.000 0.500 0.500
0.065 0.376 0.200
0.124 0.421 0.787
0.134 0.921 0.297
0.176 0.865 0.800
0.209 0.276 0.486
0.291 0.776 0.067
0.324 0.124 0.690
0.366 0.663 0.787
0.376 0.163 0.297
0.435 0.635 0.310
0.500 0.000 0.500
0.565 0.365 0.690
0.624 0.837 0.703
0.634 0.337 0.213
0.676 0.876 0.310
0.709 0.224 0.933
0.791 0.724 0.514
0.824 0.135 0.200
0.866 0.079 0.703
0.876 0.579 0.213
0.935 0.624 0.800
```

Summary:
Energy ... -109.0 eV per cell
Formation energy (no corrections) ... -143.90 kJ per mole of atoms
Volume ... 19.2 A^3/atom
Space group ... No. 72

=====

RbPt3F: relaxed, PBE.

Structure (POSCAR):
```
RbPt3F
1.0
5.264 0.000 0.000
0.000 5.264 0.000
0.000 0.000 5.264
Rb Pt F
1 3 1
direct
0.000 0.000 0.000
0.000 0.000 0.500
0.000 0.500 0.000
0.500 0.000 0.000
0.500 0.500 0.500
```

Summary:
Energy ... -9.9 eV per cell
Formation energy (no corrections) ... 213.65 kJ per mole of atoms
Volume ... 29.2 A^3/atom
Space group ... No. 221

=====

Rb2Pt2F: relaxed, PBE.

Structure (POSCAR):
```
Rb2Pt2F
1.0
9.874 0.000 0.000
0.000 9.874 0.000
0.000 0.000 2.991
Rb Pt F
4 4 2
direct
0.201 0.299 0.000
0.299 0.799 0.000
0.701 0.201 0.000
0.799 0.701 0.000
0.089 0.589 0.500
0.411 0.089 0.500
0.589 0.911 0.500
0.911 0.411 0.500
0.000 0.000 0.000
0.500 0.500 0.000
```

Summary:
Energy ... -32.1 eV per cell
Formation energy (no corrections) ... -3.38 kJ per mole of atoms
Volume ... 29.2 A^3/atom
Space group ... No. 127

=====

Rb2Pt2F: relaxed, PBE.

Structure (POSCAR):
```
Rb2Pt2F
1.0
-3.309 3.309 3.455
3.309 -3.309 3.455
3.309 3.309 -3.455
Rb Pt F
2 2 1
direct
0.250 0.750 0.500
0.750 0.250 0.500
0.176 0.176 0.000
0.824 0.824 0.000
0.500 0.500 0.000
```

Summary:
Energy ... -17.8 eV per cell
Formation energy (no corrections) ... -36.52 kJ per mole of atoms
Volume ... 30.3 A^3/atom
Space group ... No. 139

=====

Rb2PtF6: relaxed, PBE.

Structure (POSCAR):
```
Rb2PtF6
1.0
6.078 0.000 0.000
-3.039 5.264 0.000
0.000 0.000 4.915
Rb Pt F
2 1 6
direct
0.333 0.667 0.213
0.667 0.333 0.787
0.000 0.000 0.500
0.158 0.316 0.719
0.158 0.842 0.719
0.316 0.158 0.281
0.684 0.842 0.719
0.842 0.158 0.281
0.842 0.684 0.281
```

Summary:
Energy ... -38.6 eV per cell
Formation energy (no corrections) ... -208.30 kJ per mole of atoms
Volume ... 17.5 A^3/atom
Space group ... No. 164

=====

RbPtF6: relaxed, PBE.

Structure (POSCAR):
```
RbPtF6
1.0
4.107 -3.399 0.000
4.107 3.399 0.000
-2.649 0.000 5.470
Rb Pt F
1 1 6
direct
0.000 0.000 0.000
0.500 0.500 0.500
0.197 0.593 0.248
0.280 0.280 0.540
0.407 0.803 0.752
0.593 0.197 0.248
0.720 0.720 0.460
0.803 0.407 0.752
```

Summary:
Energy ... -32.3 eV per cell
Formation energy (no corrections) ... -169.15 kJ per mole of atoms
Volume ... 19.1 A^3/atom
Space group ... No. 12

=====

RbPtF5: relaxed, PBE.

Structure (POSCAR):
```
RbPtF5
1.0
4.872 -3.881 0.000
4.872 3.881 0.000
-2.599 0.000 7.214
Rb Pt F
2 2 10
direct
0.028 0.972 0.750
0.972 0.028 0.250
0.500 0.500 0.000
0.500 0.500 0.500
0.203 0.681 0.023
0.224 0.368 0.391
0.319 0.797 0.477
0.368 0.224 0.891
0.418 0.582 0.750
0.582 0.418 0.250
0.632 0.776 0.109
0.681 0.203 0.523
0.776 0.632 0.609
0.797 0.319 0.977
```

Summary:
Energy ... -57.8 eV per cell
Formation energy (no corrections) ... -173.00 kJ per mole of atoms
Volume ... 19.5 A^3/atom
Space group ... No. 15

=====

RbRu2PtF: relaxed, PBE.

Structure (POSCAR):
```
RbRu2PtF
1.0
4.418 0.000 0.000
0.000 4.418 0.000
0.000 0.000 5.252
Rb Ru Pt F
1 2 1 1
direct
0.000 0.000 0.000
0.000 0.500 0.500
0.500 0.000 0.500
0.500 0.500 0.000
0.500 0.500 0.500
```

Summary:
Energy ... -21.6 eV per cell
Formation energy (no corrections) ... 112.79 kJ per mole of atoms
Volume ... 20.5 A^3/atom
Space group ... No. 123

=====

Rb2SbPtF6: relaxed, PBE.

Structure (POSCAR):
```
Rb2SbPtF6
1.0
-3.454 3.454 4.310
3.454 -3.454 4.310
3.454 3.454 -4.310
Rb Sb Pt F
2 1 1 6
direct
0.250 0.750 0.500
0.750 0.250 0.500
0.000 0.000 0.000
0.500 0.500 0.000
0.221 0.221 0.441
0.221 0.779 0.000
0.258 0.258 0.000
0.742 0.742 0.000
0.779 0.221 0.000
0.779 0.779 0.559
```

Summary:
Energy ... -42.8 eV per cell
Formation energy (no corrections) ... -187.69 kJ per mole of atoms
Volume ... 20.6 A^3/atom
Space group ... No. 139

=====

Rb2SiPtF6: relaxed, PBE.

Structure (POSCAR):
```
Rb2SiPtF6
1.0
-3.480 3.480 3.849
3.480 -3.480 3.849
3.480 3.480 -3.849
Rb Si Pt F
2 1 1 6
direct
0.250 0.750 0.500
0.750 0.250 0.500
0.000 0.000 0.000
0.500 0.500 0.000
0.172 0.172 0.344
0.172 0.828 0.000
0.230 0.230 0.000
0.770 0.770 0.000
0.828 0.172 0.000
0.828 0.828 0.656
```

Summary:
Energy ... -48.2 eV per cell
Formation energy (no corrections) ... -226.96 kJ per mole of atoms
Volume ... 18.6 A^3/atom
Space group ... No. 139

=====

Rb2SnPtF6: relaxed, PBE.

Structure (POSCAR):
```
Rb2SnPtF6
1.0
-3.257 3.257 4.518
3.257 -3.257 4.518
3.257 3.257 -4.518
Rb Sn Pt F
2 1 1 6
direct
0.250 0.750 0.500
0.750 0.250 0.500
0.000 0.000 0.000
0.500 0.500 0.000
0.250 0.250 0.499
0.250 0.750 0.000
0.257 0.257 0.000
0.743 0.743 0.000
0.750 0.250 0.000
0.750 0.750 0.501
```

Summary:
Energy ... -43.3 eV per cell
Formation energy (no corrections) ... -193.47 kJ per mole of atoms
Volume ... 19.2 A^3/atom
Space group ... No. 139

=====

Rb2TiPtF6: relaxed, PBE.

Structure (POSCAR):
```
Rb2TiPtF6
1.0
-3.567 3.567 3.948
3.567 -3.567 3.948
3.567 3.567 -3.948
Rb Ti Pt F
2 1 1 6
direct
0.250 0.750 0.500
0.750 0.250 0.500
0.000 0.000 0.000
0.500 0.500 0.000
0.187 0.187 0.375
0.187 0.813 0.000
0.244 0.244 0.000
0.756 0.756 0.000
0.813 0.187 0.000
0.813 0.813 0.625
```

Summary:
Energy ... -52.1 eV per cell
Formation energy (no corrections) ... -240.82 kJ per mole of atoms
Volume ... 20.1 A^3/atom
Space group ... No. 139

=====

RbTl2PtF6: relaxed, PBE.

Structure (POSCAR):
```
RbTl2PtF6
1.0
6.349 0.000 0.000
-3.175 5.498 0.000
0.000 0.000 6.953
Rb Tl Pt F
1 2 1 6
direct
0.000 0.000 0.000
0.333 0.667 0.404
0.667 0.333 0.596
0.000 0.000 0.500
0.157 0.314 0.671
0.157 0.843 0.671
0.314 0.157 0.329
0.686 0.843 0.671
0.843 0.157 0.329
0.843 0.686 0.329
```

Summary:
Energy ... -40.4 eV per cell
Formation energy (no corrections) ... -167.78 kJ per mole of atoms
Volume ... 24.3 A^3/atom
Space group ... No. 164

=====

RbTlPtF6: relaxed, PBE.

Structure (POSCAR):
```
RbTlPtF6
1.0
3.254 -5.674 0.000
3.254 5.674 0.000
-0.007 0.000 5.294
Rb Tl Pt F
1 1 1 6
direct
0.000 0.000 0.000
0.666 0.334 0.500
0.334 0.666 0.500
0.083 0.412 0.291
0.087 0.672 0.712
0.328 0.913 0.288
0.331 0.416 0.713
0.584 0.669 0.287
0.588 0.917 0.709
```

Summary:
Energy ... -37.6 eV per cell
Formation energy (no corrections) ... -182.30 kJ per mole of atoms
Volume ... 21.7 A^3/atom
Space group ... No. 5

=====

Rb2TlPtF6: relaxed, PBE.

Structure (POSCAR):
```
Rb2TlPtF6
1.0
-3.261 3.261 4.869
3.261 -3.261 4.869
3.261 3.261 -4.869
Rb Tl Pt F
2 1 1 6
direct
0.250 0.750 0.500
0.750 0.250 0.500
0.000 0.000 0.000
0.500 0.500 0.000
0.264 0.264 0.000
0.281 0.281 0.563
0.281 0.719 0.000
0.719 0.281 0.000
0.719 0.719 0.437
0.736 0.736 0.000
```

Summary:
Energy ... -41.3 eV per cell
Formation energy (no corrections) ... -190.47 kJ per mole of atoms
Volume ... 20.7 A^3/atom
Space group ... No. 139

=====

RbZnPtF6: relaxed, PBE.

Structure (POSCAR):
```
RbZnPtF6
1.0
-3.634 4.147 5.178
3.634 -4.147 5.178
3.634 4.147 -5.178
Rb Zn Pt F
2 2 2 12
direct
0.357 0.107 0.250
0.643 0.893 0.750
0.000 0.000 0.500
0.000 0.500 0.000
0.000 0.500 0.500
0.500 0.500 0.000
0.063 0.415 0.237
0.063 0.826 0.647
0.072 0.822 0.250
0.321 0.174 0.737
0.321 0.585 0.147
0.329 0.579 0.750
0.671 0.421 0.250
0.679 0.415 0.853
0.679 0.826 0.263
0.928 0.178 0.750
0.937 0.174 0.353
0.937 0.585 0.763
```

Summary:
Energy ... -74.2 eV per cell
Formation energy (no corrections) ... -188.33 kJ per mole of atoms
Volume ... 17.3 A^3/atom
Space group ... No. 74

=====

Re3PtF: relaxed, PBE.

Structure (POSCAR):
```
Re3PtF
1.0
4.817 0.000 0.000
0.000 4.817 0.000
0.000 0.000 4.817
Re Pt F
3 1 1
direct
0.000 0.000 0.500
0.000 0.500 0.000
0.500 0.000 0.000
0.000 0.000 0.000
0.500 0.500 0.500
```

Summary:
Energy ... -32.7 eV per cell
Formation energy (no corrections) ... 241.51 kJ per mole of atoms
Volume ... 22.3 A^3/atom
Space group ... No. 221

=====

RePtF3: relaxed, PBE.

Structure (POSCAR):
```
RePtF3
1.0
4.382 0.000 0.000
0.000 4.382 0.000
0.000 0.000 4.382
Re Pt F
1 1 3
direct
0.000 0.000 0.000
0.500 0.500 0.500
0.000 0.500 0.500
0.500 0.000 0.500
0.500 0.500 0.000
```

Summary:
Energy ... -22.4 eV per cell
Formation energy (no corrections) ... 33.57 kJ per mole of atoms
Volume ... 16.8 A^3/atom
Space group ... No. 221